A plane-wave DFT calculation with PBE was carried out for SrYP2O after structural relaxation.

- formation energy (no corrections) (eV per atom) = -0.056
- symmetry = No. 123
- magnetization (μB/cell) = 0.39
- offset from the most stable computed form (meV per atom) = 855

Cell lengths 5.265, 5.265, 4.380 Å; angles 90.00, 90.00, 90.00 degrees
Sites, in units of the cell vectors:
Sr 0.000 0.000 0.000
Y 0.500 0.500 0.500
P 0.000 0.500 0.000
P 0.500 0.000 0.000
O 0.000 0.000 0.500